Crystalline ZrOs2C at its relaxed geometry. Source: Alexandria, functional PBE-GGA.

- symmetry = No. 122
- size of the total moment (Bohr magnetons per cell) = 0.00
- energy of formation (eV per atom) = 0.103

Cell lengths 5.433, 5.433, 5.433 Å; angles 102.76, 102.76, 123.95 degrees
Fractional coordinates of all 8 atoms:
Zr 0.000 0.000 0.000
Zr 0.750 0.250 0.500
Os 0.239 0.625 0.114
Os 0.375 0.489 0.614
Os 0.511 0.125 0.886
Os 0.875 0.761 0.386
C 0.250 0.750 0.500
C 0.500 0.500 0.000